--- 1 ---
Entry from the Alexandria database: RbRe3H after structural relaxation (GGA-PBE).

Cell: 4.2241 4.2241 4.2241 Å, 90.00 90.00 90.00°
Atoms (fractional coordinates):
Rb: 0.0000 0.0000 0.0000
Re: 0.0000 0.5000 0.5000
Re: 0.5000 0.0000 0.5000
Re: 0.5000 0.5000 0.0000
H: 0.5000 0.5000 0.5000

Values from the calculation:
theoretical density	14.2	g/cm³
calculated volume	75.4	Å³ per cell
space-group type	Pm-3m (221)

--- 2 ---
Entry from the Alexandria database: RbRe3H after structural relaxation (GGA-PBE).

Cell: 4.7424 4.7424 4.7424 Å, 90.00 90.00 90.00°
Atoms (fractional coordinates):
Rb: 0.0000 0.0000 0.0000
Re: 0.0000 0.0000 0.5000
Re: 0.0000 0.5000 0.0000
Re: 0.5000 0.0000 0.0000
H: 0.5000 0.5000 0.5000

Values from the calculation:
theoretical density	10.0	g/cm³
calculated volume	106.7	Å³ per cell
space-group type	Pm-3m (221)

Verdict on stability: 1 comes out on top.

--- 1 ---
Entry from the Alexandria database: RbHRh2 after structural relaxation (GGA-PBE).

Cell: 4.5665 4.5665 4.5665 Å, 60.00 60.00 60.00°
Atoms (fractional coordinates):
Rb: 0.0000 0.0000 0.0000
H: 0.5000 0.5000 0.5000
Rh: 0.2500 0.2500 0.2500
Rh: 0.7500 0.7500 0.7500

Values from the calculation:
theoretical density	7.2	g/cm³
calculated volume	67.3	Å³ per cell
space-group type	Fm-3m (225)

--- 2 ---
Entry from the Alexandria database: RbHRh2 after structural relaxation (GGA-PBE).

Cell: 5.8185 5.8185 5.8185 Å, 60.00 60.00 60.00°
Atoms (fractional coordinates):
Rb: 0.1250 0.1250 0.1250
Rb: 0.8750 0.8750 0.8750
H: 0.3750 0.3750 0.3750
H: 0.6250 0.6250 0.6250
Rh: 0.0000 0.5000 0.5000
Rh: 0.5000 0.0000 0.5000
Rh: 0.5000 0.5000 0.0000
Rh: 0.5000 0.5000 0.5000

Values from the calculation:
theoretical density	7.0	g/cm³
calculated volume	139.3	Å³ per cell
space-group type	Fd-3m (227)

Verdict on stability: 2 comes out on top.

--- 1 ---
Entry from the Alexandria database: RbHS2 after structural relaxation (GGA-PBE).

Cell: 6.2100 6.2100 6.2100 Å, 39.88 39.88 39.88°
Atoms (fractional coordinates):
Rb: 0.0000 0.0000 0.0000
H: 0.5000 0.5000 0.5000
S: 0.1793 0.1793 0.1793
S: 0.8207 0.8207 0.8207

Values from the calculation:
theoretical density	2.8	g/cm³
calculated volume	88.7	Å³ per cell
space-group type	R-3m (166)

--- 2 ---
Entry from the Alexandria database: RbHS2 after structural relaxation (GGA-PBE).

Cell: 7.5363 7.5363 7.5363 Å, 141.19 141.19 56.04°
Atoms (fractional coordinates):
Rb: 0.3750 0.6250 0.7500
Rb: 0.6250 0.3750 0.2500
H: 0.1250 0.8750 0.2500
H: 0.8750 0.1250 0.7500
S: 0.0000 0.0000 0.0000
S: 0.0000 0.0000 0.5000
S: 0.0000 0.5000 0.0000
S: 0.5000 0.0000 0.5000

Values from the calculation:
theoretical density	3.0	g/cm³
calculated volume	166.8	Å³ per cell
space-group type	I4_1/amd (141)

Verdict on stability: 2 comes out on top.

--- 1 ---
Entry from the Alexandria database: RbHS2 after structural relaxation (GGA-PBE).

Cell: 5.3836 5.3836 5.3836 Å, 60.00 60.00 60.00°
Atoms (fractional coordinates):
Rb: 0.0000 0.0000 0.0000
H: 0.5000 0.5000 0.5000
S: 0.2500 0.2500 0.2500
S: 0.7500 0.7500 0.7500

Values from the calculation:
theoretical density	2.3	g/cm³
calculated volume	110.3	Å³ per cell
space-group type	Fm-3m (225)

--- 2 ---
Entry from the Alexandria database: RbHS2 after structural relaxation (GGA-PBE).

Cell: 8.2929 8.2929 8.2929 Å, 27.75 27.75 27.75°
Atoms (fractional coordinates):
Rb: 0.0000 0.0000 0.0000
H: 0.5000 0.5000 0.5000
S: 0.4317 0.4317 0.4317
S: 0.5683 0.5683 0.5683

Values from the calculation:
theoretical density	2.3	g/cm³
calculated volume	109.2	Å³ per cell
space-group type	R-3m (166)

Verdict on stability: 2 comes out on top.

--- 1 ---
Entry from the Alexandria database: RbZrHS2 after structural relaxation (GGA-PBE).

Cell: 4.9118 4.9118 3.7250 Å, 90.00 90.00 90.00°
Atoms (fractional coordinates):
Rb: 0.0000 0.0000 0.0000
Zr: 0.5000 0.5000 0.0000
H: 0.0000 0.0000 0.5000
S: 0.0000 0.5000 0.5000
S: 0.5000 0.0000 0.5000

Values from the calculation:
theoretical density	4.5	g/cm³
calculated volume	89.9	Å³ per cell
space-group type	P4/mmm (123)

--- 2 ---
Entry from the Alexandria database: RbZrHS2 after structural relaxation (GGA-PBE).

Cell: 5.0821 5.0821 4.2600 Å, 90.00 90.00 90.00°
Atoms (fractional coordinates):
Rb: 0.0000 0.0000 0.0000
Zr: 0.5000 0.5000 0.5000
H: 0.5000 0.5000 0.0000
S: 0.0000 0.5000 0.5000
S: 0.5000 0.0000 0.5000

Values from the calculation:
theoretical density	3.6	g/cm³
calculated volume	110.0	Å³ per cell
space-group type	P4/mmm (123)

Verdict on stability: 2 comes out on top.

--- 1 ---
Entry from the Alexandria database: RbSbH after structural relaxation (GGA-PBE).

Cell: 3.4979 5.3148 4.5164 Å, 90.00 90.00 90.00°
Atoms (fractional coordinates):
Rb: 0.0000 0.0000 0.0000
Sb: 0.5000 0.5000 0.4878
H: 0.5000 0.5000 0.8802

Values from the calculation:
theoretical density	4.1	g/cm³
calculated volume	84.0	Å³ per cell
space-group type	Pmm2 (25)

--- 2 ---
Entry from the Alexandria database: RbSbH after structural relaxation (GGA-PBE).

Cell: 5.6579 5.6579 5.6579 Å, 124.23 124.23 82.82°
Atoms (fractional coordinates):
Rb: 0.0000 0.0000 0.0000
Sb: 0.4498 0.4498 0.0000
H: 0.6553 0.6553 0.0000

Values from the calculation:
theoretical density	2.9	g/cm³
calculated volume	118.9	Å³ per cell
space-group type	I4mm (107)

--- 3 ---
Entry from the Alexandria database: RbSbH after structural relaxation (GGA-PBE).

Cell: 8.2079 11.2126 4.0442 Å, 90.00 90.00 90.00°
Atoms (fractional coordinates):
Rb: 0.0056 0.2160 0.0000
Rb: 0.4944 0.7160 0.5000
Rb: 0.5056 0.2840 0.0000
Rb: 0.9944 0.7840 0.5000
Sb: 0.1906 0.5255 0.9987
Sb: 0.3094 0.0255 0.4987
Sb: 0.6906 0.9745 0.9987
Sb: 0.8094 0.4745 0.4987
H: 0.0133 0.4545 0.7403
H: 0.4867 0.9545 0.2403
H: 0.5133 0.0455 0.7403
H: 0.9867 0.5455 0.2403

Values from the calculation:
theoretical density	3.7	g/cm³
calculated volume	372.2	Å³ per cell
space-group type	Pna2_1 (33)

Verdict on stability: 1 comes out on top.

--- 1 ---
Entry from the Alexandria database: RbSbH after structural relaxation (GGA-PBE).

Cell: 4.0450 4.0450 10.6214 Å, 90.00 90.00 90.00°
Atoms (fractional coordinates):
Rb: 0.2500 0.2500 0.1708
Rb: 0.7500 0.7500 0.8292
Sb: 0.2500 0.2500 0.5551
Sb: 0.7500 0.7500 0.4449
H: 0.2500 0.7500 0.0000
H: 0.7500 0.2500 0.0000

Values from the calculation:
theoretical density	4.0	g/cm³
calculated volume	173.8	Å³ per cell
space-group type	P4/nmm (129)

--- 2 ---
Entry from the Alexandria database: RbSbH after structural relaxation (GGA-PBE).

Cell: 5.0770 5.7508 7.1975 Å, 66.84 86.12 89.95°
Atoms (fractional coordinates):
Rb: 0.2405 0.1239 0.2460
Rb: 0.7595 0.8761 0.7540
Sb: 0.2901 0.4215 0.6614
Sb: 0.7099 0.5785 0.3386
H: 0.4656 0.6629 0.1611
H: 0.5344 0.3371 0.8388

Values from the calculation:
theoretical density	3.6	g/cm³
calculated volume	192.7	Å³ per cell
space-group type	P-1 (2)

Verdict on stability: 2 comes out on top.

--- 1 ---
Entry from the Alexandria database: RbSbH after structural relaxation (GGA-PBE).

Cell: 6.1271 3.5296 8.4838 Å, 90.00 110.58 90.00°
Atoms (fractional coordinates):
Rb: 0.0000 0.0000 0.0000
Rb: 0.2370 0.0000 0.4881
Sb: 0.4473 0.5000 0.8905
Sb: 0.6214 0.5000 0.2505
H: 0.7843 0.5000 0.6825
H: 0.9119 0.5000 0.6861

Values from the calculation:
theoretical density	4.0	g/cm³
calculated volume	171.8	Å³ per cell
space-group type	Pm (6)

--- 2 ---
Entry from the Alexandria database: RbSbH after structural relaxation (GGA-PBE).

Cell: 6.5505 3.5606 8.0077 Å, 90.00 107.56 90.00°
Atoms (fractional coordinates):
Rb: 0.2161 0.0000 0.2385
Rb: 0.7839 0.0000 0.7615
Sb: 0.3182 0.5000 0.8477
Sb: 0.6818 0.5000 0.1523
H: 0.4710 0.5000 0.5366
H: 0.5290 0.5000 0.4634

Values from the calculation:
theoretical density	3.9	g/cm³
calculated volume	178.1	Å³ per cell
space-group type	P2/m (10)

--- 3 ---
Entry from the Alexandria database: RbSbH after structural relaxation (GGA-PBE).

Cell: 6.0052 6.0758 6.7753 Å, 85.05 89.63 60.39°
Atoms (fractional coordinates):
Rb: 0.0000 0.0000 0.0000
Rb: 0.3408 0.3313 0.4970
Sb: 0.6521 0.6741 0.7977
Sb: 0.6627 0.6716 0.2235
H: 0.8505 0.3415 0.2966
H: 0.9394 0.6785 0.7500

Values from the calculation:
theoretical density	3.2	g/cm³
calculated volume	213.9	Å³ per cell
space-group type	P1 (1)

--- 4 ---
Entry from the Alexandria database: RbSbH after structural relaxation (GGA-PBE).

Cell: 5.3367 5.4555 7.3679 Å, 79.74 68.93 89.34°
Atoms (fractional coordinates):
Rb: 0.0000 0.0000 0.0000
Rb: 0.2811 0.4858 0.4802
Sb: 0.5540 0.5434 0.9101
Sb: 0.7276 0.9497 0.5852
H: 0.2148 0.5063 0.9260
H: 0.8274 0.7522 0.4031

Values from the calculation:
theoretical density	3.5	g/cm³
calculated volume	196.6	Å³ per cell
space-group type	P1 (1)

Verdict on stability: 4 comes out on top.

--- 1 ---
Entry from the Alexandria database: Rb3SbH after structural relaxation (GGA-PBE).

Cell: 8.1346 8.1346 8.1346 Å, 58.75 58.75 58.75°
Atoms (fractional coordinates):
Rb: 0.0963 0.0963 0.5674
Rb: 0.0963 0.5674 0.0963
Rb: 0.4326 0.9037 0.9037
Rb: 0.5674 0.0963 0.0963
Rb: 0.9037 0.4326 0.9037
Rb: 0.9037 0.9037 0.4326
Sb: 0.4248 0.4248 0.4248
Sb: 0.5752 0.5752 0.5752
H: 0.1600 0.1600 0.1600
H: 0.8400 0.8400 0.8400

Values from the calculation:
theoretical density	3.4	g/cm³
calculated volume	369.7	Å³ per cell
space-group type	R-3m (166)

--- 2 ---
Entry from the Alexandria database: Rb3SbH after structural relaxation (GGA-PBE).

Cell: 5.7459 5.7459 5.7459 Å, 90.00 90.00 90.00°
Atoms (fractional coordinates):
Rb: 0.0000 0.0000 0.5000
Rb: 0.0000 0.5000 0.0000
Rb: 0.5000 0.0000 0.0000
Sb: 0.5000 0.5000 0.5000
H: 0.0000 0.0000 0.0000

Values from the calculation:
theoretical density	3.3	g/cm³
calculated volume	189.7	Å³ per cell
space-group type	Pm-3m (221)

--- 3 ---
Entry from the Alexandria database: Rb3SbH after structural relaxation (GGA-PBE).

Cell: 9.4270 10.2543 10.8586 Å, 90.00 91.49 90.00°
Atoms (fractional coordinates):
Rb: 0.0035 0.1436 0.3557
Rb: 0.0035 0.3564 0.8557
Rb: 0.2516 0.5336 0.5231
Rb: 0.2516 0.9664 0.0231
Rb: 0.4707 0.6196 0.1566
Rb: 0.4707 0.8804 0.6566
Rb: 0.5293 0.1196 0.3434
Rb: 0.5293 0.3804 0.8434
Rb: 0.7484 0.0336 0.9769
Rb: 0.7484 0.4664 0.4769
Rb: 0.9965 0.6436 0.1443
Rb: 0.9965 0.8564 0.6443
Sb: 0.2426 0.6503 0.8553
Sb: 0.2426 0.8497 0.3553
Sb: 0.7574 0.1503 0.6447
Sb: 0.7574 0.3497 0.1447
H: 0.4105 0.7189 0.8979
H: 0.4105 0.7811 0.3979
H: 0.5895 0.2189 0.6021
H: 0.5895 0.2811 0.1021

Values from the calculation:
theoretical density	2.4	g/cm³
calculated volume	1049.3	Å³ per cell
space-group type	P2_1/c (14)

Verdict on stability: 2 comes out on top.

--- 1 ---
Entry from the Alexandria database: RbSb2H after structural relaxation (GGA-PBE).

Cell: 6.9246 6.9246 6.9246 Å, 120.76 120.76 88.69°
Atoms (fractional coordinates):
Rb: 0.3750 0.6250 0.7500
Rb: 0.6250 0.3750 0.2500
Sb: 0.0000 0.0000 0.0000
Sb: 0.0000 0.0000 0.5000
Sb: 0.0000 0.5000 0.0000
Sb: 0.5000 0.0000 0.5000
H: 0.1250 0.8750 0.2500
H: 0.8750 0.1250 0.7500

Values from the calculation:
theoretical density	4.7	g/cm³
calculated volume	232.0	Å³ per cell
space-group type	I4_1/amd (141)

--- 2 ---
Entry from the Alexandria database: RbSb2H after structural relaxation (GGA-PBE).

Cell: 4.3187 6.6419 8.0430 Å, 90.00 90.00 90.00°
Atoms (fractional coordinates):
Rb: 0.2500 0.2500 0.0718
Rb: 0.7500 0.7500 0.9282
Sb: 0.2500 0.0347 0.6190
Sb: 0.2500 0.4653 0.6190
Sb: 0.7500 0.5347 0.3810
Sb: 0.7500 0.9653 0.3810
H: 0.2500 0.7500 0.1575
H: 0.7500 0.2500 0.8425

Values from the calculation:
theoretical density	4.8	g/cm³
calculated volume	230.7	Å³ per cell
space-group type	Pmmn (59)

--- 3 ---
Entry from the Alexandria database: RbSb2H after structural relaxation (GGA-PBE).

Cell: 5.4281 5.4281 5.4281 Å, 60.00 60.00 60.00°
Atoms (fractional coordinates):
Rb: 0.0000 0.0000 0.0000
Sb: 0.2500 0.2500 0.2500
Sb: 0.7500 0.7500 0.7500
H: 0.5000 0.5000 0.5000

Values from the calculation:
theoretical density	4.8	g/cm³
calculated volume	113.1	Å³ per cell
space-group type	Fm-3m (225)

Verdict on stability: 2 comes out on top.

--- 1 ---
Entry from the Alexandria database: RbSbH3 after structural relaxation (GGA-PBE).

Cell: 4.3677 4.3677 4.3677 Å, 90.00 90.00 90.00°
Atoms (fractional coordinates):
Rb: 0.0000 0.0000 0.0000
Sb: 0.5000 0.5000 0.5000
H: 0.0000 0.5000 0.5000
H: 0.5000 0.0000 0.5000
H: 0.5000 0.5000 0.0000

Values from the calculation:
theoretical density	4.2	g/cm³
calculated volume	83.3	Å³ per cell
space-group type	Pm-3m (221)

--- 2 ---
Entry from the Alexandria database: RbSbH3 after structural relaxation (GGA-PBE).

Cell: 4.5041 4.5041 4.5041 Å, 90.00 90.00 90.00°
Atoms (fractional coordinates):
Rb: 0.0000 0.0000 0.0000
Sb: 0.5000 0.5000 0.5000
H: 0.0000 0.0000 0.5000
H: 0.0000 0.5000 0.0000
H: 0.5000 0.0000 0.0000

Values from the calculation:
theoretical density	3.8	g/cm³
calculated volume	91.4	Å³ per cell
space-group type	Pm-3m (221)

Verdict on stability: 1 comes out on top.